# In4GaI5

A relaxed structure of In4GaI5 (GGA-PBE, Alexandria via LeMat-Bulk).

Structure (POSCAR):
```
In4GaI5
1.0
-5.4864 5.4864 3.4777
5.4864 -5.4864 3.4777
5.4864 5.4864 -3.4777
In Ga I
4 1 5
direct
0.0981 0.7000 0.7981 In
0.3000 0.0981 0.3982 In
0.7000 0.9019 0.6018 In
0.9019 0.3000 0.2019 In
0.4899 0.4899 0.0000 Ga
0.0106 0.0106 0.0000 I
0.2120 0.4004 0.6125 I
0.4004 0.7879 0.1884 I
0.5995 0.2120 0.8116 I
0.7879 0.5995 0.3875 I
```

Values from the calculation:
formation energy (no corrections)	-414	kJ/mol of formula units
energy	-0.0956	hartree per atom